Record 1
DFT (PBE) results for a relaxed structure of Pr3AgPt2.

Its formation energy from the elements is -4.42 eV/f.u. Its space group is C2/c. The calculation puts the density at 9165 kg/m³.

Cell: 6.108 8.424 7.464 Å, 106.21 114.15 90.00°
Sites, in units of the cell vectors:
Ag  0.925  0.750  0.000
Ag  0.075  0.250  0.000
Pr  0.193  0.592  0.370
Pr  0.428  0.750  0.000
Pr  0.823  0.908  0.630
Pr  0.177  0.092  0.370
Pr  0.807  0.408  0.630
Pr  0.572  0.250  0.000
Pt  0.333  0.420  0.683
Pt  0.650  0.080  0.317
Pt  0.350  0.920  0.683
Pt  0.667  0.580  0.317



Record 2
DFT (PBE) results for a relaxed structure of Na2SbI5.

For the formation energy (no corrections), the calculation gives -0.752 eV per atom. Its space group is P1. The calculation puts the density at 3757 kg/m³.

Cell: 6.445 8.017 8.230 Å, 87.60 113.14 113.70°
Sites, in units of the cell vectors:
Na  0.659  0.417  0.818
Na  0.481  0.639  0.237
I  0.346  0.261  0.387
I  0.535  0.028  0.028
I  0.984  0.679  0.206
I  0.753  0.795  0.669
I  0.154  0.377  0.850
Sb  0.088  0.028  0.028



Record 3
DFT (PBE) results for a relaxed structure of Ca2AlPd3.

Its formation energy from the elements is -4.83 eV/f.u. Its space group is R-3m. The calculation puts the density at 6123 kg/m³.

Cell: 5.256 5.256 5.256 Å, 65.82 65.82 65.82°
Sites, in units of the cell vectors:
Al  0.000  0.000  0.000
Pd  0.000  0.500  0.000
Pd  0.000  0.000  0.500
Pd  0.500  0.000  0.000
Ca  0.372  0.372  0.372
Ca  0.628  0.628  0.628